No. 1
Here is an optimized crystal structure of Br from the Alexandria database. Energies are from PBE.

Values from the calculation:
Formation energy (no corrections) = 0.0 kJ per mole of atoms
Energy above the lowest structure with this stoichiometry = 0 meV/atom

Cell: 5.1752 5.2068 11.5785 Å, 89.55 89.80 60.51°
Space group P1 (No. 1)
Unique sites:
Br (0.0000, 0.0000, 0.0000) (multiplicity 1)
Br (0.0023, 0.4559, 0.5006) (multiplicity 1)
Br (0.1716, 0.6269, 0.1668) (multiplicity 1)
Br (0.3736, 0.2544, 0.3338) (multiplicity 1)
Br (0.6287, 0.6272, 0.6670) (multiplicity 1)
Br (0.8305, 0.7980, 0.8334) (multiplicity 1)


No. 2
Here is an optimized crystal structure of Br from the Alexandria database. Energies are from PBE.

Values from the calculation:
Formation energy (no corrections) = 4.4 kJ per mole of atoms
Energy above the lowest structure with this stoichiometry = 46 meV/atom

Cell: 8.7044 8.7318 4.2423 Å, 90.00 90.00 90.00°
Space group Cmce (No. 64)
Unique sites:
Br (0.0000, 0.1186, 0.1414) (multiplicity 8)


No. 3
Here is an optimized crystal structure of Br from the Alexandria database. Energies are from PBE.

Values from the calculation:
Formation energy (no corrections) = 4.3 kJ per mole of atoms
Energy above the lowest structure with this stoichiometry = 44 meV/atom

Cell: 12.3837 12.3837 4.6130 Å, 90.00 90.00 90.00°
Space group P4/m (No. 83)
Unique sites:
Br (0.0210, 0.2145, 0.0000) (multiplicity 4)
Br (0.1632, 0.4608, 0.5000) (multiplicity 4)
Br (0.1839, 0.7728, 0.0000) (multiplicity 4)
Br (0.3364, 0.5426, 0.5000) (multiplicity 4)


No. 4
Here is an optimized crystal structure of CaCBr2 from the Alexandria database. Energies are from PBE.

Values from the calculation:
Formation energy (no corrections) = 29.0 kJ per mole of atoms
Energy above the lowest structure with this stoichiometry = 0 meV/atom

Cell: 4.4279 4.4279 23.8797 Å, 90.00 90.00 120.00°
Space group R-3m (No. 166, hexagonal axes)
Unique sites:
Ca (0.0000, 0.0000, 0.0000) (multiplicity 3)
C (0.0000, 0.0000, 0.5000) (multiplicity 3)
Br (0.0000, 0.0000, 0.3948) (multiplicity 6)


No. 5
Here is an optimized crystal structure of CaC2Br from the Alexandria database. Energies are from PBE.

Values from the calculation:
Formation energy (no corrections) = 181.1 kJ per mole of atoms
Energy above the lowest structure with this stoichiometry = 0 meV/atom

Cell: 6.0119 6.0119 7.3932 Å, 90.00 90.00 90.00°
Space group I-42d (No. 122)
Unique sites:
Ca (0.0000, 0.0000, 0.0000) (multiplicity 4)
C (0.1916, 0.7500, 0.6250) (multiplicity 8)
Br (0.0000, 0.0000, 0.5000) (multiplicity 4)


No. 6
Here is an optimized crystal structure of CaCBr3 from the Alexandria database. Energies are from PBE.

Values from the calculation:
Formation energy (no corrections) = 46.7 kJ per mole of atoms
Energy above the lowest structure with this stoichiometry = 402 meV/atom

Cell: 5.6748 5.6748 5.6748 Å, 90.00 90.00 90.00°
Space group Pm-3m (No. 221)
Unique sites:
Ca (0.0000, 0.0000, 0.0000) (multiplicity 1)
C (0.5000, 0.5000, 0.5000) (multiplicity 1)
Br (0.0000, 0.0000, 0.5000) (multiplicity 3)


No. 7
Here is an optimized crystal structure of CaC3Br from the Alexandria database. Energies are from PBE.

Values from the calculation:
Formation energy (no corrections) = 265.5 kJ per mole of atoms
Energy above the lowest structure with this stoichiometry = 0 meV/atom

Cell: 4.1584 4.1584 4.1584 Å, 90.00 90.00 90.00°
Space group Pm-3m (No. 221)
Unique sites:
Ca (0.0000, 0.0000, 0.0000) (multiplicity 1)
C (0.0000, 0.5000, 0.5000) (multiplicity 3)
Br (0.5000, 0.5000, 0.5000) (multiplicity 1)


No. 8
Here is an optimized crystal structure of CaC3Br from the Alexandria database. Energies are from PBE.

Values from the calculation:
Formation energy (no corrections) = 326.1 kJ per mole of atoms
Energy above the lowest structure with this stoichiometry = 628 meV/atom

Cell: 4.9312 4.9312 4.9312 Å, 90.00 90.00 90.00°
Space group Pm-3m (No. 221)
Unique sites:
Ca (0.0000, 0.0000, 0.0000) (multiplicity 1)
C (0.0000, 0.0000, 0.5000) (multiplicity 3)
Br (0.5000, 0.5000, 0.5000) (multiplicity 1)


No. 9
Here is an optimized crystal structure of Ca3CBr from the Alexandria database. Energies are from PBE.

Values from the calculation:
Formation energy (no corrections) = -29.7 kJ per mole of atoms
Energy above the lowest structure with this stoichiometry = 0 meV/atom

Cell: 5.1053 5.1053 5.1053 Å, 90.00 90.00 90.00°
Space group Pm-3m (No. 221)
Unique sites:
Ca (0.0000, 0.0000, 0.5000) (multiplicity 3)
C (0.0000, 0.0000, 0.0000) (multiplicity 1)
Br (0.5000, 0.5000, 0.5000) (multiplicity 1)


No. 10
Here is an optimized crystal structure of CaC2Br2 from the Alexandria database. Energies are from PBE.

Values from the calculation:
Formation energy (no corrections) = 142.3 kJ per mole of atoms
Energy above the lowest structure with this stoichiometry = 227 meV/atom

Cell: 7.6112 7.6112 3.3320 Å, 90.00 90.00 90.00°
Space group P4/mbm (No. 127)
Unique sites:
Ca (0.0000, 0.0000, 0.0000) (multiplicity 2)
C (0.2255, 0.2745, 0.5000) (multiplicity 4)
Br (0.1485, 0.6485, 0.0000) (multiplicity 4)


No. 11
Here is an optimized crystal structure of CaC2Br from the Alexandria database. Energies are from PBE.

Values from the calculation:
Formation energy (no corrections) = 205.5 kJ per mole of atoms
Energy above the lowest structure with this stoichiometry = 252 meV/atom

Cell: 6.2966 6.2966 6.2966 Å, 90.00 90.00 90.00°
Space group Fm-3m (No. 225)
Unique sites:
Ca (0.0000, 0.0000, 0.0000) (multiplicity 4)
C (0.2500, 0.2500, 0.2500) (multiplicity 8)
Br (0.0000, 0.0000, 0.5000) (multiplicity 4)


No. 12
Here is an optimized crystal structure of CaCBr3 from the Alexandria database. Energies are from PBE.

Values from the calculation:
Formation energy (no corrections) = 7.9 kJ per mole of atoms
Energy above the lowest structure with this stoichiometry = 0 meV/atom

Cell: 4.8424 4.8424 4.8424 Å, 90.00 90.00 90.00°
Space group Pm-3m (No. 221)
Unique sites:
Ca (0.0000, 0.0000, 0.0000) (multiplicity 1)
C (0.5000, 0.5000, 0.5000) (multiplicity 1)
Br (0.0000, 0.5000, 0.5000) (multiplicity 3)


No. 13
Here is an optimized crystal structure of CaCBr2 from the Alexandria database. Energies are from PBE.

Values from the calculation:
Formation energy (no corrections) = 41.3 kJ per mole of atoms
Energy above the lowest structure with this stoichiometry = 128 meV/atom

Cell: 7.2185 7.2185 7.2185 Å, 90.00 90.00 90.00°
Space group Fm-3m (No. 225)
Unique sites:
Ca (0.0000, 0.0000, 0.0000) (multiplicity 4)
C (0.0000, 0.0000, 0.5000) (multiplicity 4)
Br (0.2500, 0.2500, 0.2500) (multiplicity 8)


No. 14
Here is an optimized crystal structure of CaC2Br2 from the Alexandria database. Energies are from PBE.

Values from the calculation:
Formation energy (no corrections) = 120.4 kJ per mole of atoms
Energy above the lowest structure with this stoichiometry = 0 meV/atom

Cell: 3.1978 3.1978 24.2169 Å, 90.00 90.00 90.00°
Space group I4/mmm (No. 139)
Unique sites:
Ca (0.0000, 0.0000, 0.0000) (multiplicity 2)
C (0.0000, 0.5000, 0.2500) (multiplicity 4)
Br (0.0000, 0.0000, 0.4255) (multiplicity 4)